(1)
{
  "formula": "Al2InNi",
  "functional": "PBE",
  "state": "optimized geometry",
  "lattice": [[6.4413, 0.0000, 0.0000], [0.0000, 6.4413, 0.0000], [0.0000, 0.0000, 6.4413]],
  "species": ["Al", "Al", "Al", "Al", "Al", "Al", "Al", "Al", "In", "In", "In", "In", "Ni", "Ni", "Ni", "Ni"],
  "frac_coords": [[0.0000, 0.0000, 0.0000], [0.0000, 0.5000, 0.5000], [0.2500, 0.2500, 0.2500], [0.2500, 0.7500, 0.7500], [0.5000, 0.0000, 0.5000], [0.5000, 0.5000, 0.0000], [0.7500, 0.2500, 0.7500], [0.7500, 0.7500, 0.2500], [0.0000, 0.0000, 0.5000], [0.0000, 0.5000, 0.0000], [0.5000, 0.0000, 0.0000], [0.5000, 0.5000, 0.5000], [0.2500, 0.2500, 0.7500], [0.2500, 0.7500, 0.2500], [0.7500, 0.2500, 0.2500], [0.7500, 0.7500, 0.7500]]
}



(2)
{
  "formula": "AlIn2Ni",
  "functional": "PBE",
  "state": "optimized geometry",
  "lattice": [[8.7498, 0.0000, 0.0000], [0.0000, 3.2356, 0.0000], [-1.2781, 0.0000, 5.4413]],
  "species": ["Al", "Al", "In", "In", "In", "In", "Ni", "Ni"],
  "frac_coords": [[0.0000, 0.0000, 0.0000], [0.5000, 0.5000, 0.0000], [0.2377, 0.0000, 0.7261], [0.2623, 0.5000, 0.2739], [0.7377, 0.5000, 0.7261], [0.7623, 0.0000, 0.2739], [0.0000, 0.5000, 0.5000], [0.5000, 0.0000, 0.5000]]
}



(3)
{
  "formula": "Al2InNi",
  "functional": "PBE",
  "state": "optimized geometry",
  "lattice": [[2.8938, 0.0000, 0.0000], [0.0000, 3.7481, 0.0000], [0.0000, 0.0000, 6.1694]],
  "species": ["Al", "Al", "In", "Ni"],
  "frac_coords": [[0.0000, 0.0000, 0.0000], [0.5000, 0.5000, 0.2485], [0.0000, 0.0000, 0.5449], [0.5000, 0.5000, 0.8513]]
}



no.,formation energy (eV per formula unit)
1,0.520
2,0.650
3,-0.257